Compound: SrInFeO4
Source: Alexandria
Functional: PBE+U
Structure: optimized geometry

abc: 5.7559 5.8126 6.7716
angles: 90.00 108.06 90.00
Atoms (fractional coordinates):
Sr1 0.7385 0.7500 0.9506
Sr2 0.2615 0.2500 0.0494
In1 0.8226 0.7500 0.4641
In2 0.1774 0.2500 0.5359
Fe1 0.2832 0.7500 0.3397
Fe2 0.7168 0.2500 0.6603
O1 0.9727 0.4829 0.7062
O2 0.0273 0.9829 0.2938
O3 0.0273 0.5171 0.2938
O4 0.9727 0.0171 0.7062
O5 0.4875 0.7500 0.1706
O6 0.5125 0.2500 0.8294
O7 0.5182 0.7500 0.5963
O8 0.4818 0.2500 0.4037

Results
Space-group type   P2_1/m
Uncorrected energy   -6.0396 eV per atom